Below is TaFeSi2 at its PBEsol-relaxed geometry, with properties calculated at the meta-GGA SCAN level.

Lattice parameters (Å, degrees): 4.6973 4.6973 4.6973 133.29 133.29 68.20
With the nearest neighbours (Å) after each atom.
Element x y z (fractional)
Ta 0.0000 0.0000 0.0000  4 Fe 2.63, 8 Si 2.69
Fe 0.5000 0.5000 0.0000  4 Ta 2.63, 8 Si 2.69
Si 0.2500 0.7500 0.5000  4 Si 2.63, 4 Fe 2.69, 4 Ta 2.69
Si 0.7500 0.2500 0.5000  4 Si 2.63, 4 Fe 2.69, 4 Ta 2.69

## Properties
Formation energy from raw total energies, meV/atom: -83.2
Calculated density, g cm⁻³: 9.02
D(E_F), states/eV/cell: 2.0

---

Below is Tb2Fe3Si5 at its PBEsol-relaxed geometry, with properties calculated at the meta-GGA SCAN level.

Lattice parameters (Å, degrees): 10.2628 10.2628 5.4286 90.00 90.00 90.00
With the nearest neighbours (Å) after each atom.
Element x y z (fractional)
Tb 0.0688 0.2360 0.0000  9 Si 2.73-3.01, 2 Fe 3.05
Tb 0.2360 0.9312 0.0000  9 Si 2.73-3.01, 2 Fe 3.05
Tb 0.2640 0.4312 0.5000  9 Si 2.73-3.01, 2 Fe 3.05
Tb 0.4312 0.7360 0.5000  9 Si 2.73-3.01, 2 Fe 3.05
Tb 0.5688 0.2640 0.5000  9 Si 2.73-3.01, 2 Fe 3.05
Tb 0.7360 0.5688 0.5000  9 Si 2.73-3.01, 2 Fe 3.05
Tb 0.7640 0.0688 0.0000  9 Si 2.73-3.01, 2 Fe 3.05
Tb 0.9312 0.7640 0.0000  9 Si 2.73-3.01, 2 Fe 3.05
Fe 0.0000 0.5000 0.2500  4 Si 2.30
Fe 0.0000 0.5000 0.7500  4 Si 2.30
Fe 0.1227 0.8551 0.5000  6 Si 2.32-2.38
Fe 0.1449 0.1227 0.5000  6 Si 2.32-2.38
Fe 0.3551 0.6227 0.0000  6 Si 2.32-2.38
Fe 0.3773 0.3551 0.0000  6 Si 2.32-2.38
Fe 0.5000 0.0000 0.2500  4 Si 2.30
Fe 0.5000 0.0000 0.7500  4 Si 2.30
Fe 0.6227 0.6449 0.0000  6 Si 2.32-2.38
Fe 0.6449 0.3773 0.0000  6 Si 2.32-2.38
Fe 0.8551 0.8773 0.5000  6 Si 2.32-2.38
Fe 0.8773 0.1449 0.5000  6 Si 2.32-2.38
Si 0.0000 0.0000 0.2694  4 Fe 2.32, 1 Si 2.50
Si 0.0000 0.0000 0.7306  4 Fe 2.32, 1 Si 2.50
Si 0.0221 0.3199 0.5000  4 Fe 2.30-2.38, 2 Si 2.46
Si 0.1779 0.6779 0.2500  3 Fe 2.34-2.58, 2 Si 2.46
Si 0.1779 0.6779 0.7500  3 Fe 2.34-2.58, 2 Si 2.46
Si 0.1801 0.4779 0.0000  4 Fe 2.30-2.38, 2 Si 2.46
Si 0.3199 0.9779 0.5000  4 Fe 2.30-2.38, 2 Si 2.46
Si 0.3221 0.1779 0.2500  3 Fe 2.34-2.58, 2 Si 2.46
Si 0.3221 0.1779 0.7500  3 Fe 2.34-2.58, 2 Si 2.46
Si 0.4779 0.8199 0.0000  4 Fe 2.30-2.38, 2 Si 2.46
Si 0.5000 0.5000 0.2306  4 Fe 2.32, 1 Si 2.50
Si 0.5000 0.5000 0.7694  4 Fe 2.32, 1 Si 2.50
Si 0.5221 0.1801 0.0000  4 Fe 2.30-2.38, 2 Si 2.46
Si 0.6779 0.8221 0.2500  3 Fe 2.34-2.58, 2 Si 2.46
Si 0.6779 0.8221 0.7500  3 Fe 2.34-2.58, 2 Si 2.46
Si 0.6801 0.0221 0.5000  4 Fe 2.30-2.38, 2 Si 2.46
Si 0.8199 0.5221 0.0000  4 Fe 2.30-2.38, 2 Si 2.46
Si 0.8221 0.3221 0.2500  3 Fe 2.34-2.58, 2 Si 2.46
Si 0.8221 0.3221 0.7500  3 Fe 2.34-2.58, 2 Si 2.46
Si 0.9779 0.6801 0.5000  4 Fe 2.30-2.38, 2 Si 2.46

## Properties
Formation energy from raw total energies, meV/atom: -605.5
Calculated density, g cm⁻³: 7.27
D(E_F), states/eV/cell: 18.7

---

Below is Tb3Fe2Si7 at its PBEsol-relaxed geometry, with properties calculated at the meta-GGA SCAN level.

Lattice parameters (Å, degrees): 12.3238 12.3238 4.0460 90.00 90.00 161.41
With the nearest neighbours (Å) after each atom.
Element x y z (fractional)
Tb 0.0000 0.0000 0.0000  12 Si 2.84-2.97, 2 Fe 3.09
Tb 0.3155 0.6845 0.5000  10 Si 2.97-3.08, 4 Fe 3.16
Tb 0.6845 0.3155 0.5000  10 Si 2.97-3.08, 4 Fe 3.16
Fe 0.1272 0.8728 0.0000  5 Si 2.20-2.25
Fe 0.8728 0.1272 0.0000  5 Si 2.20-2.25
Si 0.0893 0.9107 0.5000  2 Fe 2.22
Si 0.2199 0.7801 0.0000  1 Fe 2.25, 2 Si 2.47
Si 0.4109 0.5891 0.0000  2 Fe 2.20
Si 0.5000 0.5000 0.5000  4 Tb 2.84, 8 Si 2.95-2.96
Si 0.5891 0.4109 0.0000  2 Fe 2.20
Si 0.7801 0.2199 0.0000  1 Fe 2.25, 2 Si 2.47
Si 0.9107 0.0893 0.5000  2 Fe 2.22

## Properties
Formation energy from raw total energies, meV/atom: -552.1
Calculated density, g cm⁻³: 6.66
D(E_F), states/eV/cell: 5.6

---

Below is TbFeSi2 at its PBEsol-relaxed geometry, with properties calculated at the meta-GGA SCAN level.

Lattice parameters (Å, degrees): 4.2282 3.9412 7.8643 90.00 103.87 90.00
With the nearest neighbours (Å) after each atom.
Element x y z (fractional)
Tb 0.1052 0.2500 0.2065  9 Si 2.86-3.18, 3 Fe 3.02-3.10
Tb 0.8948 0.7500 0.7935  9 Si 2.86-3.18, 3 Fe 3.02-3.10
Fe 0.3854 0.2500 0.6089  5 Si 2.22-2.31
Fe 0.6146 0.7500 0.3911  5 Si 2.22-2.31
Si 0.1727 0.7500 0.4957  4 Fe 2.22-2.31, 2 Si 2.46
Si 0.4552 0.2500 0.9016  1 Fe 2.25, 2 Si 2.48
Si 0.5448 0.7500 0.0984  1 Fe 2.25, 2 Si 2.48
Si 0.8273 0.2500 0.5043  4 Fe 2.22-2.31, 2 Si 2.46

## Properties
Formation energy from raw total energies, meV/atom: -662.9
Calculated density, g cm⁻³: 7.07
D(E_F), states/eV/cell: 3.0

---

Values of E, in order: -105.077, -816.188, -253.282, -175.150, all in eV/cell.